Entry 1:
Below is crystalline Sc2GaRePd at its relaxed geometry, with properties calculated at the PBE-GGA level. Values from VASP.

## Properties
The symmetry is P4/mmm. As for the formation energy: 0.461 eV/atom. The magnetic moment comes out at 0.00 μB/cell.

Geometry as Quantum ESPRESSO input:
```
&SYSTEM
  ibrav = 0, nat = 5, ntyp = 4
/
ATOMIC_SPECIES
Ga 69.72 Ga.upf
Sc 44.96 Sc.upf
Pd 106.42 Pd.upf
Re 186.21 Re.upf
ATOMIC_POSITIONS angstrom
Ga 2.616 -3.299 -0.803
Sc 2.358 -0.235 0.820
Pd 0.700 -0.666 -2.206
Sc -0.442 -2.398 0.584
Re 0.000 0.000 0.000
CELL_PARAMETERS angstrom
-0.884 -4.796 1.167
1.400 -1.332 -4.412
4.716 -0.471 1.639
```

=====

Entry 2:
Below is crystalline Pm8PbS6 at its relaxed geometry, with properties calculated at the PBE-GGA level. Values from VASP.

## Properties
The calculation puts the uncorrected formation energy at -1.58 eV per atom. The symmetry is P-3. The magnetic moment comes out at 0.00 μB/cell.

Geometry as Quantum ESPRESSO input:
```
&SYSTEM
  ibrav = 0, nat = 15, ntyp = 3
/
ATOMIC_SPECIES
Pm 145.00 Pm.upf
S 32.06 S.upf
Pb 207.20 Pb.upf
ATOMIC_POSITIONS angstrom
Pm 1.027 2.796 1.984
Pm 3.046 3.116 -1.429
Pm 3.046 6.348 3.295
Pm 3.050 3.048 5.279
S 1.017 3.157 7.281
S 3.057 4.417 1.096
Pm 1.027 0.320 7.145
S 3.057 5.986 -2.002
Pb 2.037 0.000 0.000
S 3.057 7.884 0.906
S 1.017 1.260 4.373
Pm 1.027 6.028 6.709
S 1.017 4.727 4.184
Pm 1.024 6.096 0.000
Pm 3.046 8.824 -1.866
CELL_PARAMETERS angstrom
4.073 0.000 0.000
0.000 9.144 -5.279
0.000 0.000 10.558
```

=====

Entry 3:
Below is crystalline PmGaCuPt2 at its relaxed geometry, with properties calculated at the PBE-GGA level. Values from VASP.

## Properties
The symmetry is I-4m2. As for the formation energy: -0.771 eV/atom. The magnetic moment comes out at 0.00 μB/cell.

Geometry as Quantum ESPRESSO input:
```
&SYSTEM
  ibrav = 0, nat = 5, ntyp = 4
/
ATOMIC_SPECIES
Pm 145.00 Pm.upf
Ga 69.72 Ga.upf
Pt 195.08 Pt.upf
Cu 63.55 Cu.upf
ATOMIC_POSITIONS angstrom
Pm 0.000 0.000 0.000
Ga 1.964 0.000 3.060
Pt 1.964 1.964 1.362
Cu 0.000 1.964 3.060
Pt 0.000 0.000 4.758
CELL_PARAMETERS angstrom
3.927 0.000 0.000
0.000 3.927 0.000
-1.964 -1.964 6.120
```

=====

Entry 4:
Below is crystalline AlAsRuBr2 at its relaxed geometry, with properties calculated at the PBE-GGA level. Values from VASP.

## Properties
The calculation puts the uncorrected formation energy at 0.30 eV per atom. The symmetry is P4/mmm. For the energy above the most stable polymorph in this dataset, the calculation gives 0.0000 eV per atom. The magnetic moment comes out at 0.00 μB/cell.

Geometry as Quantum ESPRESSO input:
```
&SYSTEM
  ibrav = 0, nat = 5, ntyp = 4
/
ATOMIC_SPECIES
Br 79.90 Br.upf
Al 26.98 Al.upf
As 74.92 As.upf
Ru 101.07 Ru.upf
ATOMIC_POSITIONS angstrom
Br -0.352 -1.068 -2.405
Al -3.537 -2.218 -1.428
Br -2.518 0.841 -0.005
As -0.668 -1.992 0.982
Ru 0.000 0.000 0.000
CELL_PARAMETERS angstrom
-5.036 1.683 -0.011
-0.704 -2.136 -4.810
-1.335 -3.983 1.964
```

=====

Entry 5:
Below is crystalline Pa2BeCo5 at its relaxed geometry, with properties calculated at the PBE-GGA level. Values from VASP.

## Properties
The symmetry is I4mm. As for the formation energy: -0.347 eV/atom. The magnetic moment comes out at 0.00 μB/cell.

Geometry as Quantum ESPRESSO input:
```
&SYSTEM
  ibrav = 0, nat = 8, ntyp = 3
/
ATOMIC_SPECIES
Co 58.93 Co.upf
Pa 231.04 Pa.upf
Be 9.01 Be.upf
ATOMIC_POSITIONS angstrom
Co -1.562 -3.447 -1.893
Co -1.800 0.933 -0.309
Pa -2.299 -0.856 -2.248
Be -3.392 -6.260 -0.218
Co -0.900 -1.660 -0.058
Co -3.383 -2.513 -0.387
Co -2.087 -3.286 1.659
Pa -2.862 -0.683 1.554
CELL_PARAMETERS angstrom
-1.534 5.153 -0.461
-1.239 -3.498 -3.918
-2.365 -3.152 3.687
```

=====

Entry 6:
Below is crystalline BaIn2Sn2Hg at its relaxed geometry, with properties calculated at the PBE-GGA level. Values from VASP.

## Properties
The symmetry is Pnnm. As for the formation energy: -0.251 eV/atom. The magnetic moment comes out at 0.00 μB/cell.

Geometry as Quantum ESPRESSO input:
```
&SYSTEM
  ibrav = 0, nat = 12, ntyp = 4
/
ATOMIC_SPECIES
Sn 118.71 Sn.upf
Hg 200.59 Hg.upf
Ba 137.33 Ba.upf
In 114.82 In.upf
ATOMIC_POSITIONS angstrom
Sn -0.368 -2.648 -1.038
Hg -2.778 -5.225 -4.179
Ba 1.372 -1.043 -3.832
In -5.530 -7.877 -1.482
In -2.389 -2.529 -3.127
In -3.167 -7.921 -5.232
Sn -3.618 -9.719 -2.991
Sn -0.058 -4.760 -4.960
Sn -5.498 -5.690 -3.399
In 1.543 -4.490 -2.547
Hg 0.000 0.000 0.000
Ba -4.150 -4.182 -0.347
CELL_PARAMETERS angstrom
-1.569 1.916 -4.330
4.313 -4.003 -3.335
-8.299 -8.364 -0.694
```

=====

Entry 7:
Below is crystalline K2NaCa2 at its relaxed geometry, with properties calculated at the PBE-GGA level. Values from VASP.

## Properties
The symmetry is P4/mbm. For the energy above the most stable polymorph in this dataset, the calculation gives 0.0271 eV per atom. As for the formation energy: 0.272 eV/atom. The magnetic moment comes out at 0.00 μB/cell.

Geometry as Quantum ESPRESSO input:
```
&SYSTEM
  ibrav = 0, nat = 10, ntyp = 3
/
ATOMIC_SPECIES
K 39.10 K.upf
Na 22.99 Na.upf
Ca 40.08 Ca.upf
ATOMIC_POSITIONS angstrom
K 9.472 3.694 2.121
Na 0.000 0.000 0.000
K 7.860 9.472 2.121
Na 5.777 5.777 0.000
K 3.694 2.083 2.121
K 2.083 7.860 2.121
Ca 4.456 10.233 0.000
Ca 1.322 4.456 0.000
Ca 7.099 1.322 0.000
Ca 10.233 7.099 0.000
CELL_PARAMETERS angstrom
11.555 0.000 0.000
0.000 11.555 0.000
0.000 0.000 4.242
```

=====

Entry 8:
Below is crystalline Tb4SmZn at its relaxed geometry, with properties calculated at the PBE-GGA level. Values from VASP.

## Properties
The symmetry is P4/mmm. For the energy above the most stable polymorph in this dataset, the calculation gives 0.0000 eV per atom. As for the formation energy: -0.100 eV/atom. The magnetic moment comes out at 0.00 μB/cell.

Geometry as Quantum ESPRESSO input:
```
&SYSTEM
  ibrav = 0, nat = 6, ntyp = 3
/
ATOMIC_SPECIES
Tb 158.93 Tb.upf
Sm 150.36 Sm.upf
Zn 65.41 Zn.upf
ATOMIC_POSITIONS angstrom
Tb 1.669 -1.692 4.505
Tb 1.300 -4.333 10.549
Tb 2.832 -2.871 7.644
Sm 0.000 0.000 0.000
Zn -0.118 -2.896 6.721
Tb -1.537 -1.458 2.894
CELL_PARAMETERS angstrom
-2.697 1.694 1.636
-2.041 -2.922 -0.341
4.502 -4.564 12.148
```

=====

Entry 9:
Below is crystalline Sr6ZnIr at its relaxed geometry, with properties calculated at the PBE-GGA level. Values from VASP.

## Properties
The symmetry is C2/m. As for the formation energy: -0.127 eV/atom. The magnetic moment comes out at 0.00 μB/cell.

Geometry as Quantum ESPRESSO input:
```
&SYSTEM
  ibrav = 0, nat = 8, ntyp = 3
/
ATOMIC_SPECIES
Zn 65.41 Zn.upf
Sr 87.62 Sr.upf
Ir 192.22 Ir.upf
ATOMIC_POSITIONS angstrom
Zn 0.000 0.000 0.000
Sr -6.304 -0.029 2.917
Ir -4.168 -1.244 1.294
Sr -5.798 -3.684 1.035
Sr -2.539 1.195 1.553
Sr -2.967 -2.335 3.735
Sr -5.369 -0.154 -1.147
Sr -2.032 -2.459 -0.329
CELL_PARAMETERS angstrom
-4.049 6.249 1.016
-2.466 -5.170 -4.865
-1.821 -3.568 6.437
```

=====

Entry 10:
Below is crystalline Th2Ni2Hg3 at its relaxed geometry, with properties calculated at the PBE-GGA level. Values from VASP.

## Properties
The symmetry is C2/m. For the energy above the most stable polymorph in this dataset, the calculation gives 0.0612 eV per atom. As for the formation energy: -0.288 eV/atom. The magnetic moment comes out at 0.00 μB/cell.

Geometry as Quantum ESPRESSO input:
```
&SYSTEM
  ibrav = 0, nat = 7, ntyp = 3
/
ATOMIC_SPECIES
Ni 58.69 Ni.upf
Th 232.04 Th.upf
Hg 200.59 Hg.upf
ATOMIC_POSITIONS angstrom
Ni -0.492 -0.927 4.375
Th -0.558 -3.959 4.369
Hg -2.680 -1.846 5.776
Ni -2.350 -4.295 2.212
Th -2.284 -1.263 2.218
Hg -0.161 -3.377 0.811
Hg 0.000 0.000 0.000
CELL_PARAMETERS angstrom
-3.986 0.087 -0.430
1.920 -5.393 -0.195
-0.776 0.083 7.211
```

=====

Entry 11:
Below is crystalline AuSe2Br at its relaxed geometry, with properties calculated at the PBE-GGA level. Values from VASP.

## Properties
The calculation puts the uncorrected formation energy at 0.22 eV per atom. The symmetry is Imm2. The magnetic moment comes out at 0.00 μB/cell.

Geometry as Quantum ESPRESSO input:
```
&SYSTEM
  ibrav = 0, nat = 4, ntyp = 3
/
ATOMIC_SPECIES
Se 78.96 Se.upf
Au 196.97 Au.upf
Br 79.90 Br.upf
ATOMIC_POSITIONS angstrom
Se -2.634 -0.617 0.198
Au -3.184 1.360 -1.452
Br -1.848 3.118 2.400
Se -0.170 0.073 -0.078
CELL_PARAMETERS angstrom
-2.601 5.182 0.657
-3.894 -2.407 -3.618
1.905 -0.228 5.510
```

=====

Entry 12:
Below is crystalline YCrP2 at its relaxed geometry, with properties calculated at the PBE-GGA level. Values from VASP.

## Properties
The symmetry is Pmmm. For the energy above the most stable polymorph in this dataset, the calculation gives 0.5025 eV per atom. As for the formation energy: -0.404 eV/atom. The magnetic moment comes out at 3.58 μB/cell.

Geometry as Quantum ESPRESSO input:
```
&SYSTEM
  ibrav = 0, nat = 4, ntyp = 3
/
ATOMIC_SPECIES
P 30.97 P.upf
Y 88.91 Y.upf
Cr 52.00 Cr.upf
ATOMIC_POSITIONS angstrom
P -0.205 -2.768 -1.658
Y 1.705 -2.050 0.576
Cr 1.586 -0.861 -2.428
P 0.000 0.000 0.000
CELL_PARAMETERS angstrom
-0.086 -3.956 1.346
-0.324 -1.580 -4.662
3.497 -0.143 -0.195
```

=====

| no. | volume (Å³ per cell) |
| --- | --- |
| 1 | 121.1 |
| 2 | 393.3 |
| 3 | 94.4 |
| 4 | 130.7 |
| 5 | 112.0 |
| 6 | 398.2 |
| 7 | 566.3 |
| 8 | 176.1 |
| 9 | 359.0 |
| 10 | 155.5 |
| 11 | 115.7 |
| 12 | 72.3 |